(1)
Density functional theory data (PBE) for a geometry-optimized NaCe4S8 structure.

Cell: 8.264 8.264 7.869 Å, 104.80 105.71 119.93°
Last column: magnetic moment on the atom in μB.
Sites, in units of the cell vectors:
S1 0.686 0.500 0.187  -0.02
S2 0.706 0.041 0.205  -0.02
S3 0.163 0.498 0.205  -0.02
S4 0.837 0.502 0.795  -0.02
S5 0.187 0.032 0.219  -0.02
S6 0.314 0.500 0.813  -0.02
S7 0.294 0.959 0.795  -0.02
S8 0.813 0.968 0.781  -0.02
Ce1 0.753 0.753 0.000  0.37
Ce2 0.727 0.225 0.953  0.35
Ce3 0.247 0.247 0.000  0.37
Ce4 0.273 0.775 0.047  0.35
Na1 0.000 0.500 0.500  0.00

The symmetry is C2/m (12). The uncorrected formation energy comes out at -1730 meV per atom. For the density of states at the Fermi level, the calculation gives 0.8735 states/eV/atom.

***

(2)
Density functional theory data (PBE) for a geometry-optimized MgBe2O3 structure.

Cell: 2.739 4.487 8.153 Å, 90.40 90.00 90.00°
Sites, in units of the cell vectors:
Be1 0.750 0.608 0.592
Be2 0.250 0.815 0.242
Be3 0.750 0.185 0.758
Be4 0.250 0.392 0.408
O1 0.250 0.370 0.607
O2 0.250 0.259 0.905
O3 0.750 0.630 0.393
O4 0.250 0.160 0.266
O5 0.750 0.741 0.095
O6 0.750 0.840 0.734
Mg1 0.250 0.738 0.902
Mg2 0.750 0.262 0.098

The symmetry is P2_1/m (11). The uncorrected formation energy comes out at -2434 meV per atom. For the density of states at the Fermi level, the calculation gives 0.0000 states/eV/atom.

***

(3)
Density functional theory data (PBE) for a geometry-optimized CsSb2OsI structure.

Cell: 6.466 6.466 6.714 Å, 90.00 90.00 90.00°
Last column: magnetic moment on the atom in μB.
Sites, in units of the cell vectors:
Sb1 0.000 0.500 0.000  -0.32
Sb2 0.500 0.000 0.000  -0.32
Cs1 0.000 0.000 0.000  0.00
Os1 0.500 0.500 0.500  3.45
I1 0.000 0.000 0.500  -0.04

The symmetry is P4/mmm (123). The uncorrected formation energy comes out at 2345 meV per atom. For the density of states at the Fermi level, the calculation gives 1.5381 states/eV/atom.

***

(4)
Density functional theory data (PBE) for a geometry-optimized Ce2PrHoAs4 structure.

Cell: 4.212 7.287 7.298 Å, 70.52 90.00 90.00°
Last column: magnetic moment on the atom in μB.
Sites, in units of the cell vectors:
As1 0.500 0.749 0.257  -0.02
As2 0.500 0.251 0.743  -0.02
As3 0.000 0.754 0.742  -0.01
As4 0.000 0.246 0.258  -0.01
Ho1 0.000 0.500 0.500  0.00
Ce1 0.000 0.000 0.000  0.64
Ce2 0.500 0.000 0.500  0.52
Pr1 0.500 0.500 0.000  0.01

The symmetry is P2/m (10). For the formation energy, the calculation gives -33.80 kcal/mol of atoms. For the density of states at the Fermi level, the calculation gives 1.3730 states/eV/atom.

***

(5)
Density functional theory data (PBE) for a geometry-optimized Cu2HCl structure.

Cell: 4.769 4.769 5.676 Å, 65.16 65.16 90.00°
Sites, in units of the cell vectors:
Cu1 0.875 0.757 0.750
Cu2 0.243 0.625 0.250
Cu3 0.375 0.493 0.750
Cu4 0.507 0.125 0.250
Cl1 0.750 0.250 0.500
Cl2 0.000 0.000 0.000
H1 0.250 0.750 0.500
H2 0.500 0.500 0.000

The symmetry is I-42d (122). The energy relative to the lowest polymorph listed for this composition is 0 meV/atom. For the density of states at the Fermi level, the calculation gives 0.0000 states/eV/atom.

***

(6)
Density functional theory data (PBE) for a geometry-optimized YCu6Au6 structure.

Cell: 5.163 6.875 6.875 Å, 82.03 67.94 67.94°
Sites, in units of the cell vectors:
Au1 0.659 0.341 0.341
Au2 0.684 0.816 0.816
Au3 0.341 0.659 0.659
Au4 0.316 0.184 0.184
Au5 0.000 0.336 0.664
Au6 0.000 0.664 0.336
Cu1 0.000 0.500 0.000
Cu2 0.500 0.237 0.763
Cu3 0.500 0.500 0.000
Cu4 0.500 0.763 0.237
Cu5 0.000 0.000 0.500
Cu6 0.500 0.000 0.500
Y1 0.000 0.000 0.000

The symmetry is Immm (71). For the formation energy, the calculation gives -5.60 kcal/mol of atoms. For the density of states at the Fermi level, the calculation gives 0.3567 states/eV/atom.

***

Copy entry 2 word for word.
Density functional theory data (PBE) for a geometry-optimized MgBe2O3 structure.

Cell: 2.739 4.487 8.153 Å, 90.40 90.00 90.00°
Sites, in units of the cell vectors:
Be1 0.750 0.608 0.592
Be2 0.250 0.815 0.242
Be3 0.750 0.185 0.758
Be4 0.250 0.392 0.408
O1 0.250 0.370 0.607
O2 0.250 0.259 0.905
O3 0.750 0.630 0.393
O4 0.250 0.160 0.266
O5 0.750 0.741 0.095
O6 0.750 0.840 0.734
Mg1 0.250 0.738 0.902
Mg2 0.750 0.262 0.098

The symmetry is P2_1/m (11). The uncorrected formation energy comes out at -2434 meV per atom. For the density of states at the Fermi level, the calculation gives 0.0000 states/eV/atom.

***

Question: density of states at the Fermi level of number 3 (CsSb2OsI)?
Answer: 1.5381 states/eV/atom